# NbReMo6 GGA-PBE relaxed
data_NbReMo6
_chemical_formula_sum 'Nb1 Re1 Mo6'
_symmetry_space_group_name_H-M 'P 1'
_symmetry_Int_Tables_number 1
_symmetry_space_group_name_Hall 'P 1'
_cell_length_a 5.6137
_cell_length_b 5.6137
_cell_length_c 5.6137
_cell_angle_alpha 110.35
_cell_angle_beta 110.35
_cell_angle_gamma 110.35
loop_
_atom_site_label
_atom_site_fract_x
_atom_site_fract_y
_atom_site_fract_z
_atom_site_occupancy
Nb1 0.0000 0.0000 0.0000 1
Re1 0.5000 0.5000 0.5000 1
Mo1 0.2488 0.2488 0.7391 1
Mo2 0.2488 0.7391 0.2488 1
Mo3 0.2609 0.7512 0.7512 1
Mo4 0.7391 0.2488 0.2488 1
Mo5 0.7512 0.2609 0.7512 1
Mo6 0.7512 0.7512 0.2609 1
# - Formation energy: 0.227 eV per atom
# - Polymorph energy (0 for the lowest one): 0.00 eV/f.u.
# - Crystal system: trigonal